(1)
MoAsSBr2 | Alexandria | PBE | relaxed; excess energy over the best structure of this formula in the dataset = 0.5427 eV/atom; formation energy without anion corrections = 1133 meV per atom
1.0
5.1164 0.0000 0.0000
0.0000 5.1164 0.0000
0.0000 0.0000 4.9527
Mo As S Br
1 1 1 2
Direct
0.0000 0.0000 0.0000 Mo
0.5000 0.5000 0.0000 As
0.5000 0.5000 0.5000 S
0.0000 0.5000 0.5000 Br
0.5000 0.0000 0.5000 Br

=====

(2)
NbFe2Pt8 | Alexandria | PBE | relaxed; formation energy = -0.360 eV/atom
1.0
7.0809 -1.9793 0.0000
7.0809 1.9793 0.0000
-1.8292 0.0000 6.0117
Nb Fe Pt
1 2 8
Direct
0.0000 0.0000 0.0000 Nb
0.2778 0.2778 0.3586 Fe
0.7222 0.7222 0.6414 Fe
0.1020 0.1020 0.4533 Pt
0.1824 0.1824 0.9169 Pt
0.3605 0.3605 0.8105 Pt
0.4550 0.4550 0.2727 Pt
0.5450 0.5450 0.7273 Pt
0.6395 0.6395 0.1895 Pt
0.8176 0.8176 0.0831 Pt
0.8980 0.8980 0.5467 Pt

=====

(3)
K2TmNpS4 | Alexandria | PBE | relaxed; formation energy without anion corrections = -1624 meV per atom
1.0
7.0345 0.0000 0.0000
0.0000 4.0528 0.0000
-2.3517 0.0000 7.3548
K Tm Np S
2 1 1 4
Direct
0.0000 0.0000 0.0000 K
0.5000 0.5000 0.0000 K
0.0000 0.5000 0.5000 Tm
0.5000 0.0000 0.5000 Np
0.2273 0.0000 0.7005 S
0.2616 0.5000 0.2997 S
0.7384 0.5000 0.7003 S
0.7727 0.0000 0.2995 S

=====

(4)
SbPPb2 | Alexandria | PBE | relaxed; excess energy over the best structure of this formula in the dataset = 0.1983 eV/atom; formation energy without anion corrections = 315 meV per atom
1.0
0.0000 3.7594 3.7594
3.7594 0.0000 3.7594
3.7594 3.7594 0.0000
Sb P Pb
1 1 2
Direct
0.0000 0.0000 0.0000 Sb
0.5000 0.5000 0.5000 P
0.2500 0.2500 0.2500 Pb
0.7500 0.7500 0.7500 Pb